# 1
DFT (PBE) results for crystalline Ho3TlO6 at its relaxed geometry.

Values from the calculation:
E_form (uncorrected)   -2.836 eV/atom
Excess energy over the best structure of this formula in the dataset   0.012 eV per atom
Total magnetization   0.0 μB/f.u.
E   -7.421 eV per atom

abc: 8.9145 11.2164 5.6365
angles: 90.00 90.00 90.00
Last column: nearest neighbours and their distance in Å.
Space group Cmc2_1 (No. 36)
Symmetry-distinct sites (fractional):
1 Ho 0.0000 0.0989 0.0000 (multiplicity 4)  7 O 2.29-2.42
2 Ho 0.1971 0.3944 0.0562 (multiplicity 8)  6 O 2.24-2.47
3 Tl 0.0000 0.3182 0.5640 (multiplicity 4)  4 O 2.11-2.23
4 O 0.0000 0.2803 0.1980 (multiplicity 4)  1 Tl 2.11, 3 Ho 2.32
5 O 0.0000 0.4782 0.7972 (multiplicity 4)  1 Tl 2.23, 2 Ho 2.47
6 O 0.1604 0.0201 0.2766 (multiplicity 8)  4 Ho 2.24-2.33
7 O 0.1698 0.2306 0.7903 (multiplicity 8)  1 Tl 2.21, 3 Ho 2.26-2.42

# 2
DFT (PBE) results for crystalline Ho6Tl3O2 at its relaxed geometry.

Values from the calculation:
E_form (uncorrected)   -1.249 eV/atom
Density of states at the Fermi level   0.442 states/eV per atom
Total magnetization   0.0 μB/f.u.
E   -5.293 eV per atom

abc: 4.6608 4.6608 24.6936
angles: 90.00 90.00 90.00
Last column: nearest neighbours and their distance in Å.
Space group I4/mmm (No. 139)
Symmetry-distinct sites (fractional):
1 Ho 0.0000 0.0000 0.1962 (multiplicity 4)  1 O 2.35
2 Ho 0.0000 0.5000 0.0854 (multiplicity 8)  2 O 2.36
3 Tl 0.0000 0.0000 0.3233 (multiplicity 4)  9 Ho 3.14-3.33
4 Tl 0.0000 0.0000 0.5000 (multiplicity 2)  8 Ho 3.14
5 O 0.0000 0.0000 0.1010 (multiplicity 4)  5 Ho 2.35-2.36

# 3
DFT (PBE) results for crystalline Ho12Tl6O at its relaxed geometry.

Values from the calculation:
E_form (uncorrected)   -0.428 eV/atom
Density of states at the Fermi level   0.751 states/eV per atom
Total magnetization   0.0 μB/f.u.
E   -4.327 eV per atom

abc: 11.9882 11.9882 12.9960
angles: 90.00 90.00 120.00
Last column: nearest neighbours and their distance in Å.
Space group R-3 (No. 148, hexagonal axes)
Symmetry-distinct sites (fractional):
1 Ho 0.0340 0.1835 0.3826 (multiplicity 18)  4 Tl 3.06-3.29
2 Ho 0.0338 0.8536 0.8896 (multiplicity 18)  1 O 2.45
3 Tl 0.0019 0.6108 0.7549 (multiplicity 18)  8 Ho 3.06-3.29
4 O 0.0000 0.0000 0.0000 (multiplicity 3)  6 Ho 2.45

# 4
DFT (PBE) results for crystalline Ho4Tl2O at its relaxed geometry.

Values from the calculation:
E_form (uncorrected)   -1.067 eV/atom
Excess energy over the best structure of this formula in the dataset   0.000 eV per atom
Density of states at the Fermi level   0.465 states/eV per atom
Total magnetization   0.0 μB/f.u.
E   -5.067 eV per atom

abc: 6.3873 6.8231 8.9825
angles: 90.00 110.34 90.00
Last column: nearest neighbours and their distance in Å.
Space group P2_1/m (No. 11)
Symmetry-distinct sites (fractional):
1 Ho 0.0364 0.0021 0.2780 (multiplicity 4)  1 O 2.22
2 Ho 0.3672 0.7500 0.0516 (multiplicity 2)  1 O 2.20
3 Ho 0.4215 0.7500 0.6486 (multiplicity 2)  1 O 2.21
4 Tl 0.1957 0.2500 0.0260 (multiplicity 2)  7 Ho 3.09-3.42
5 Tl 0.3113 0.2500 0.5881 (multiplicity 2)  8 Ho 3.16-3.49
6 O 0.2021 0.7500 0.7923 (multiplicity 2)  4 Ho 2.20-2.22

# 5
DFT (PBE) results for crystalline Ho2TlO2 at its relaxed geometry.

Values from the calculation:
E_form (uncorrected)   -2.468 eV/atom
Density of states at the Fermi level   0.590 states/eV per atom
Total magnetization   0.0 μB/f.u.
E   -6.755 eV per atom

abc: 3.8398 3.8398 14.0376
angles: 90.00 90.00 90.00
Last column: nearest neighbours and their distance in Å.
Space group I4/mmm (No. 139)
Symmetry-distinct sites (fractional):
1 Ho 0.0000 0.0000 0.1711 (multiplicity 4)  4 O 2.22
2 Tl 0.0000 0.0000 0.5000 (multiplicity 2)  8 Ho 3.62, 4 Tl 3.84, 8 O 4.00
3 O 0.0000 0.5000 0.2500 (multiplicity 4)  4 Ho 2.22

# 6
DFT (PBE) results for crystalline HoTlO at its relaxed geometry.

Values from the calculation:
E_form (uncorrected)   -1.791 eV/atom
Excess energy over the best structure of this formula in the dataset   0.000 eV per atom
Density of states at the Fermi level   0.625 states/eV per atom
Total magnetization   0.0 μB/f.u.
E   -5.758 eV per atom

abc: 3.7183 3.7183 6.0104
angles: 90.00 90.00 120.00
Last column: nearest neighbours and their distance in Å.
Space group P-6m2 (No. 187)
Symmetry-distinct sites (fractional):
1 Ho 0.0000 0.0000 0.0000 (multiplicity 1)  3 O 2.15
2 Tl 0.3333 0.6667 0.5000 (multiplicity 1)  6 Ho 3.69, 6 O 3.69, 6 Tl 3.72
3 O 0.6667 0.3333 0.0000 (multiplicity 1)  3 Ho 2.15

# 7
DFT (PBE) results for crystalline HoUTl2O8 at its relaxed geometry.

Values from the calculation:
E_form (uncorrected)   -1.968 eV/atom
Density of states at the Fermi level   0.670 states/eV per atom
Total magnetization   0.0 μB/f.u.
E   -6.990 eV per atom

abc: 7.2316 7.4199 6.8610
angles: 90.00 90.00 90.00
Last column: nearest neighbours and their distance in Å.
Space group Cmmm (No. 65)
Symmetry-distinct sites (fractional):
1 Ho 0.0000 0.0000 0.0000 (multiplicity 2)  6 O 2.21-2.28
2 U 0.0000 0.0000 0.5000 (multiplicity 2)  6 O 2.04-2.17
3 Tl 0.0000 0.5000 0.2482 (multiplicity 4)  6 O 2.21-2.41
4 O 0.0000 0.1766 0.2726 (multiplicity 8)  1 U 2.04
5 O 0.1942 0.5000 0.0000 (multiplicity 4)  2 Tl 2.21, 1 Ho 2.21
6 O 0.1996 0.5000 0.5000 (multiplicity 4)  1 U 2.17, 2 Tl 2.25

# 8
DFT (PBE) results for crystalline HoU3Tl2O12 at its relaxed geometry.

Values from the calculation:
E_form (uncorrected)   -2.669 eV/atom
Density of states at the Fermi level   0.971 states/eV per atom
Total magnetization   0.0 μB/f.u.
E   -8.373 eV per atom

abc: 8.1300 8.1300 19.1713
angles: 90.00 90.00 120.00
Last column: nearest neighbours and their distance in Å.
Space group R-3m (No. 166, hexagonal axes)
Symmetry-distinct sites (fractional):
1 Ho 0.0000 0.0000 0.0000 (multiplicity 3)  6 O 2.26
2 U 0.0000 0.5000 0.5000 (multiplicity 9)  6 O 1.97-2.14
3 Tl 0.0000 0.0000 0.3215 (multiplicity 6)  6 O 3.03-3.05
4 O 0.0695 0.5348 0.5998 (multiplicity 18)  1 U 1.97
5 O 0.0949 0.5475 0.8555 (multiplicity 18)  2 U 2.14

# 9
DFT (PBE) results for crystalline HoUTl2O6 at its relaxed geometry.

Values from the calculation:
E_form (uncorrected)   -2.337 eV/atom
Density of states at the Fermi level   0.285 states/eV per atom
Total magnetization   0.0 μB/f.u.
E   -7.372 eV per atom

abc: 8.6651 8.6716 8.6883
angles: 90.00 90.00 90.00
Last column: nearest neighbours and their distance in Å.
Space group Fmmm (No. 69)
Symmetry-distinct sites (fractional):
1 Ho 0.0000 0.0000 0.0000 (multiplicity 4)  6 O 2.25
2 U 0.0000 0.0000 0.5000 (multiplicity 4)  6 O 2.08-2.09
3 Tl 0.2500 0.2500 0.2500 (multiplicity 8)  12 O 3.07
4 O 0.0000 0.0000 0.2595 (multiplicity 8)  1 U 2.09, 1 Ho 2.25
5 O 0.0000 0.2402 0.5000 (multiplicity 8)  1 U 2.08, 1 Ho 2.25
6 O 0.2401 0.0000 0.5000 (multiplicity 8)  1 U 2.08, 1 Ho 2.25

> Which value of total magnetization does entry 7 give?

0.0 μB/f.u.

> Which value of E does entry 6 give?

-5.758 eV per atom

> Look up the E of the fifth one.

-6.755 eV per atom